Density functional theory data (PBE) for a relaxed structure of TbDy4Co.

Results
* raw total energy: -5.06 eV per atom
* calculated formation energy: -18 kJ/mol of formula units

a b c (Å): 11.8765 3.5618 8.2916
angles (deg): 90.00 110.28 90.00
Closest atoms and distances in Å follow each position.
Space group C2/m (No. 12)
Inequivalent atoms, fractional coordinates:
Tb 0.0000 0.0000 0.0000 x2  10 Dy 3.47-3.68, 2 Tb 3.56
Dy 0.1255 0.5000 0.3789 x4  2 Co 2.73
Dy 0.1707 0.5000 0.7954 x4  2 Co 3.14, 2 Dy 3.31
Co 0.0000 0.0000 0.5000 x2  4 Dy 2.73